# 1
This record from Alexandria describes an optimized crystal structure of ZnSnP4O12. The functional is PBE.

a = 12.248 Å, b = 9.932 Å, c = 10.440 Å
α = 90.00°, β = 122.49°, γ = 90.00°
Space group C2/c (No. 15)
Symmetry-distinct sites (fractional):
Zn (0.000, 0.185, 0.250)
Sn (0.000, 0.500, 0.000)
P (0.214, 0.053, 0.967)
P (0.226, 0.240, 0.194)
O (0.107, 0.293, 0.192)
O (0.118, 0.059, 0.408)
O (0.146, 0.474, 0.917)
O (0.161, 0.167, 0.032)
O (0.179, 0.343, 0.674)
O (0.200, 0.131, 0.821)

Values from the calculation:
Raw total energy, eV/cell: -486.69


# 2
This record from Alexandria describes an optimized crystal structure of ZnSn3P4O14. The functional is PBE.

a = 8.241 Å, b = 8.074 Å, c = 10.017 Å
α = 90.00°, β = 102.98°, γ = 90.00°
Space group P2_1/c (No. 14)
Symmetry-distinct sites (fractional):
Zn (0.000, 0.000, 0.000)
Sn (0.304, 0.142, 0.481)
Sn (0.500, 0.000, 0.000)
P (0.057, 0.040, 0.702)
P (0.319, 0.704, 0.173)
O (0.102, 0.065, 0.860)
O (0.129, 0.525, 0.855)
O (0.132, 0.636, 0.172)
O (0.141, 0.176, 0.634)
O (0.283, 0.629, 0.600)
O (0.398, 0.576, 0.090)
O (0.421, 0.710, 0.320)

Values from the calculation:
Raw total energy, eV/cell: -290.55


# 3
This record from Alexandria describes an optimized crystal structure of ZrSnP2O. The functional is PBE.

a = 5.208 Å, b = 5.208 Å, c = 4.010 Å
α = 90.00°, β = 90.00°, γ = 90.00°
Space group P4/mmm (No. 123)
Symmetry-distinct sites (fractional):
Zr (0.000, 0.000, 0.000)
Sn (0.500, 0.500, 0.500)
P (0.000, 0.500, 0.000)
O (0.000, 0.000, 0.500)

Values from the calculation:
Raw total energy, eV/cell: -31.19
ΔE to the lowest computed polymorph, kcal/mol of atoms: 0.00


# 4
This record from Alexandria describes an optimized crystal structure of ZrSnP2O. The functional is PBE.

a = 5.003 Å, b = 5.003 Å, c = 3.921 Å
α = 90.00°, β = 90.00°, γ = 90.00°
Space group P4/mmm (No. 123)
Symmetry-distinct sites (fractional):
Zr (0.000, 0.000, 0.000)
Sn (0.500, 0.500, 0.500)
P (0.000, 0.500, 0.500)
O (0.500, 0.500, 0.000)

Values from the calculation:
Raw total energy, eV/cell: -28.10
ΔE to the lowest computed polymorph, kcal/mol of atoms: 14.21


# 5
This record from Alexandria describes an optimized crystal structure of SrP2O2. The functional is PBE.

a = 4.361 Å, b = 4.361 Å, c = 7.978 Å
α = 90.00°, β = 90.00°, γ = 90.00°
Space group I4/mmm (No. 139)
Symmetry-distinct sites (fractional):
Sr (0.000, 0.000, 0.000)
P (0.000, 0.000, 0.373)
O (0.000, 0.500, 0.250)

Values from the calculation:
Raw total energy, eV/cell: -49.86
ΔE to the lowest computed polymorph, kcal/mol of atoms: 7.70


# 6
This record from Alexandria describes an optimized crystal structure of SrP2O2. The functional is PBE.

a = 7.155 Å, b = 7.155 Å, c = 3.665 Å
α = 90.00°, β = 90.00°, γ = 90.00°
Space group P4/mbm (No. 127)
Symmetry-distinct sites (fractional):
Sr (0.000, 0.000, 0.000)
P (0.105, 0.395, 0.000)
O (0.149, 0.351, 0.500)

Values from the calculation:
Raw total energy, eV/cell: -52.58
ΔE to the lowest computed polymorph, kcal/mol of atoms: 1.42